[1]
A relaxed structure of La3PmHo2S6, computed with PBE.

## Properties
SG: No. 12
E_tot: -6.542 eV per atom

abc: 6.978 6.978 7.059
angles: 99.50 99.50 120.11
Atoms (fractional coordinates):
La  0.000  0.000  0.000
La  0.336  0.664  0.000
La  0.664  0.336  0.000
Pm  0.500  0.500  0.500
Ho  0.167  0.833  0.500
Ho  0.833  0.167  0.500
S  0.081  0.422  0.267
S  0.235  0.235  0.730
S  0.422  0.081  0.267
S  0.578  0.919  0.733
S  0.765  0.765  0.270
S  0.919  0.578  0.733

---

[2]
A relaxed structure of La3Pm2HoS6, computed with PBE.

## Properties
SG: No. 12
E_tot: -6.566 eV per atom

abc: 7.040 7.040 7.067
angles: 99.57 99.57 120.10
Atoms (fractional coordinates):
La  0.000  0.000  0.000
La  0.330  0.670  0.000
La  0.670  0.330  0.000
Pm  0.167  0.833  0.500
Pm  0.833  0.167  0.500
Ho  0.500  0.500  0.500
S  0.096  0.422  0.264
S  0.255  0.255  0.739
S  0.422  0.096  0.264
S  0.578  0.904  0.736
S  0.745  0.745  0.261
S  0.904  0.578  0.736

---

[3]
A relaxed structure of LaPmHo2S4, computed with PBE.

## Properties
SG: No. 139
E_tot: -6.415 eV per atom

abc: 6.926 6.926 6.926
angles: 131.85 131.85 70.47
Atoms (fractional coordinates):
La  0.000  0.000  0.000
Pm  0.500  0.500  0.000
Ho  0.250  0.750  0.500
Ho  0.750  0.250  0.500
S  0.000  0.500  0.500
S  0.252  0.252  0.000
S  0.500  0.000  0.500
S  0.748  0.748  0.000

---

[4]
A relaxed structure of La3PmHo2Sb6, computed with PBE.

## Properties
SG: No. 12
E_tot: -5.653 eV per atom

abc: 7.834 7.834 7.814
angles: 99.62 99.62 119.99
Atoms (fractional coordinates):
La  0.000  0.000  0.000
La  0.335  0.665  0.000
La  0.665  0.335  0.000
Pm  0.500  0.500  0.500
Ho  0.167  0.833  0.500
Ho  0.833  0.167  0.500
Sb  0.083  0.420  0.261
Sb  0.241  0.241  0.737
Sb  0.420  0.083  0.261
Sb  0.580  0.917  0.739
Sb  0.759  0.759  0.263
Sb  0.917  0.580  0.739

---

[5]
A relaxed structure of LaPmHo2Sb4, computed with PBE.

## Properties
SG: No. 10
E_tot: -5.583 eV per atom

abc: 7.721 4.472 7.740
angles: 90.00 109.52 90.00
Atoms (fractional coordinates):
La  0.000  0.000  0.000
Pm  0.000  0.500  0.500
Ho  0.500  0.000  0.500
Ho  0.500  0.500  0.000
Sb  0.260  0.000  0.751
Sb  0.262  0.500  0.257
Sb  0.738  0.500  0.743
Sb  0.740  0.000  0.249

---

[6]
A relaxed structure of La2PmHoSb4, computed with PBE.

## Properties
SG: No. 10
E_tot: -5.667 eV per atom

abc: 7.837 4.534 7.848
angles: 90.00 109.51 90.00
Atoms (fractional coordinates):
La  0.000  0.000  0.000
La  0.000  0.500  0.500
Pm  0.500  0.000  0.500
Ho  0.500  0.500  0.000
Sb  0.259  0.500  0.249
Sb  0.262  0.000  0.757
Sb  0.738  0.000  0.243
Sb  0.741  0.500  0.751

---

[7]
A relaxed structure of LaPm2HoSb4, computed with PBE.

## Properties
SG: No. 10
E_tot: -5.618 eV per atom

abc: 7.783 4.502 7.792
angles: 90.00 109.46 90.00
Atoms (fractional coordinates):
La  0.000  0.000  0.000
Pm  0.000  0.500  0.500
Pm  0.500  0.000  0.500
Ho  0.500  0.500  0.000
Sb  0.257  0.000  0.753
Sb  0.257  0.500  0.252
Sb  0.743  0.000  0.247
Sb  0.743  0.500  0.748

---

[8]
A relaxed structure of La4PmHo2Sc, computed with PBE.

## Properties
SG: No. 47
E_tot: -4.956 eV per atom
formation enthalpy at 0 K: 0.0371 eV/atom

abc: 5.264 5.277 9.550
angles: 90.00 90.00 90.00
Atoms (fractional coordinates):
La  0.000  0.000  0.248
La  0.000  0.000  0.752
La  0.500  0.500  0.248
La  0.500  0.500  0.752
Pm  0.000  0.500  0.000
Ho  0.000  0.500  0.500
Ho  0.500  0.000  0.500
Sc  0.500  0.000  0.000

---

[9]
A relaxed structure of LaPm2Ho4Sc, computed with PBE.

## Properties
SG: No. 123
E_tot: -4.752 eV per atom
formation enthalpy at 0 K: 0.1324 eV/atom

abc: 5.845 5.845 7.466
angles: 90.00 90.00 90.00
Atoms (fractional coordinates):
La  0.000  0.000  0.000
Pm  0.000  0.000  0.500
Pm  0.500  0.500  0.500
Ho  0.000  0.500  0.246
Ho  0.000  0.500  0.754
Ho  0.500  0.000  0.246
Ho  0.500  0.000  0.754
Sc  0.500  0.500  0.000

---

[10]
A relaxed structure of LaPmHoSc, computed with PBE.

## Properties
SG: No. 216
E_tot: -5.055 eV per atom
formation enthalpy at 0 K: 0.0917 eV/atom
relative energy among the computed polymorphs: 3 meV/atom

abc: 5.644 5.644 5.644
angles: 60.00 60.00 60.00
Atoms (fractional coordinates):
La  0.000  0.000  0.000
Pm  0.500  0.500  0.500
Ho  0.750  0.750  0.750
Sc  0.250  0.250  0.250